Record 1
A plane-wave DFT calculation with PBE was carried out for a relaxed NaTl3In2Br6 crystal.

Computed properties:
Energy relative to the elements, uncorrected = -0.900 eV per atom

a b c (Å): 8.098 8.098 8.068
angles (deg): 99.64 99.64 119.81
Element x y z (fractional)
Na 0.000 0.000 0.000
Tl 0.168 0.832 0.500
Tl 0.500 0.500 0.500
Tl 0.832 0.168 0.500
In 0.333 0.667 0.000
In 0.667 0.333 0.000
Br 0.077 0.389 0.232
Br 0.232 0.232 0.756
Br 0.389 0.077 0.232
Br 0.611 0.923 0.768
Br 0.768 0.768 0.244
Br 0.923 0.611 0.768



Record 2
A plane-wave DFT calculation with PBE was carried out for a relaxed Na3TlIn2Br6 crystal.

Computed properties:
Energy relative to the elements, uncorrected = -1.125 eV per atom

a b c (Å): 10.172 10.172 9.143
angles (deg): 105.16 105.16 25.26
Element x y z (fractional)
Na 0.000 0.000 0.000
Na 0.333 0.333 0.667
Na 0.667 0.667 0.333
Tl 0.000 0.000 0.500
In 0.333 0.333 0.166
In 0.667 0.667 0.834
Br 0.160 0.160 0.101
Br 0.174 0.174 0.567
Br 0.493 0.493 0.769
Br 0.507 0.507 0.231
Br 0.826 0.826 0.433
Br 0.840 0.840 0.899



Record 3
A plane-wave DFT calculation with PBE was carried out for a relaxed Na3Tl2InBr6 crystal.

Computed properties:
Energy relative to the elements, uncorrected = -1.161 eV per atom

a b c (Å): 10.182 10.182 9.150
angles (deg): 105.09 105.09 25.28
Element x y z (fractional)
Na 0.000 0.000 0.000
Na 0.333 0.333 0.667
Na 0.667 0.667 0.333
Tl 0.334 0.334 0.168
Tl 0.666 0.666 0.832
In 0.000 0.000 0.500
Br 0.159 0.159 0.101
Br 0.173 0.173 0.564
Br 0.492 0.492 0.767
Br 0.508 0.508 0.233
Br 0.827 0.827 0.436
Br 0.841 0.841 0.899



Record 4
A plane-wave DFT calculation with PBE was carried out for a relaxed Na2TlIn3Br6 crystal.

Computed properties:
Energy relative to the elements, uncorrected = -0.974 eV per atom

a b c (Å): 10.286 10.286 9.278
angles (deg): 103.35 103.35 25.60
Element x y z (fractional)
Na 0.171 0.171 0.338
Na 0.829 0.829 0.662
Tl 0.500 0.500 0.000
In 0.167 0.167 0.825
In 0.500 0.500 0.500
In 0.833 0.833 0.175
Br 0.018 0.018 0.262
Br 0.325 0.325 0.428
Br 0.326 0.326 0.890
Br 0.674 0.674 0.110
Br 0.675 0.675 0.572
Br 0.982 0.982 0.738



Record 5
A plane-wave DFT calculation with PBE was carried out for a relaxed NaTl2InBr6 crystal.

Computed properties:
Energy relative to the elements, uncorrected = -0.973 eV per atom

a b c (Å): 7.836 7.836 7.836
angles (deg): 60.61 60.61 60.61
Element x y z (fractional)
Na 0.000 0.000 0.000
Tl 0.271 0.271 0.271
Tl 0.776 0.776 0.776
In 0.494 0.494 0.494
Br 0.172 0.713 0.340
Br 0.254 0.654 0.810
Br 0.340 0.172 0.713
Br 0.654 0.810 0.254
Br 0.713 0.340 0.172
Br 0.810 0.254 0.654



Record 6
A plane-wave DFT calculation with PBE was carried out for a relaxed NaTl4In3Br8 crystal.

Computed properties:
Energy relative to the elements, uncorrected = -0.859 eV per atom

a b c (Å): 9.388 9.388 9.388
angles (deg): 60.07 60.07 60.07
Element x y z (fractional)
Na 0.000 0.000 0.000
Tl 0.000 0.000 0.500
Tl 0.000 0.500 0.000
Tl 0.500 0.000 0.000
Tl 0.500 0.500 0.500
In 0.000 0.500 0.500
In 0.500 0.000 0.500
In 0.500 0.500 0.000
Br 0.239 0.239 0.759
Br 0.239 0.759 0.239
Br 0.241 0.761 0.761
Br 0.251 0.251 0.251
Br 0.749 0.749 0.749
Br 0.759 0.239 0.239
Br 0.761 0.241 0.761
Br 0.761 0.761 0.241



Record 7
A plane-wave DFT calculation with PBE was carried out for a relaxed NaTlIn2Br8 crystal.

Computed properties:
Energy relative to the elements, uncorrected = -0.926 eV per atom

a b c (Å): 11.243 11.243 11.243
angles (deg): 36.37 36.37 36.37
Element x y z (fractional)
Na 0.000 0.000 0.000
Tl 0.500 0.500 0.500
In 0.246 0.246 0.246
In 0.754 0.754 0.754
Br 0.086 0.393 0.711
Br 0.165 0.165 0.165
Br 0.289 0.607 0.914
Br 0.393 0.711 0.086
Br 0.607 0.914 0.289
Br 0.711 0.086 0.393
Br 0.835 0.835 0.835
Br 0.914 0.289 0.607



Record 8
A plane-wave DFT calculation with PBE was carried out for a relaxed NaTl2InBr5 crystal.

Computed properties:
Energy relative to the elements, uncorrected = -0.928 eV per atom

a b c (Å): 9.690 9.690 13.372
angles (deg): 90.00 90.00 150.16
Element x y z (fractional)
Na 0.214 0.786 0.500
Na 0.786 0.214 0.000
Tl 0.124 0.876 0.160
Tl 0.144 0.856 0.793
Tl 0.856 0.144 0.293
Tl 0.876 0.124 0.660
In 0.460 0.540 0.933
In 0.540 0.460 0.433
Br 0.048 0.952 0.513
Br 0.292 0.708 0.142
Br 0.317 0.683 0.854
Br 0.368 0.632 0.487
Br 0.490 0.510 0.246
Br 0.510 0.490 0.746
Br 0.632 0.368 0.987
Br 0.683 0.317 0.354
Br 0.708 0.292 0.642
Br 0.952 0.048 0.013



The records above give, respectively, Fermi-level density of states values of 0.00; 0.00; 0.00; 0.00; 0.00; 0.00; 0.00; 1.15 states/eV/f.u..